This record from Alexandria describes a relaxed structure of HfMgBi2Ru. The functional is PBE.

```
HfMgBi2Ru
1.0
-1.362 -1.570 -4.811
2.369 -4.115 0.672
-4.348 -2.185 1.944
Ru Mg Hf Bi
1 1 1 2
direct
0.000 0.000 0.000
0.000 0.500 0.000
0.500 0.500 0.500
0.000 0.000 0.500
0.500 0.000 0.000
```

Results
The calculation puts the formation energy at 0.65 eV per atom. The crystal system is tetragonal. As for the total magnetization: 0.0 μB per formula unit. The calculation puts the uncorrected energy at -0.373 Ry/atom.